[1]
# ScTa2GaAu PBE relaxed
data_ScTa2GaAu
_chemical_formula_sum 'Sc1 Ta2 Ga1 Au1'
_space_group_name_H-M_alt 'P 4/m m m'
_space_group_IT_number 123
_space_group_name_Hall '-P 4 2'
_cell_length_a 4.758
_cell_length_b 4.758
_cell_length_c 4.809
_cell_angle_alpha 90.00
_cell_angle_beta 90.00
_cell_angle_gamma 90.00
loop_
_atom_site_label
_atom_site_type_symbol
_atom_site_fract_x
_atom_site_fract_y
_atom_site_fract_z
_atom_site_occupancy
Sc1 Sc 0.000 0.000 0.000 1
Ta1 Ta 0.000 0.500 0.500 1
Ga1 Ga 0.000 0.000 0.500 1
Au1 Au 0.500 0.500 0.000 1
# Mass density = 10.27 g/cm³
# N(E_F) = 5.09 states/eV/f.u.
# ΔE_f = 0.862 eV per atom
# VASP energy = -6.41 eV/atom

=====

[2]
# DyTmSn2 PBE relaxed
data_DyTmSn2
_chemical_formula_sum 'Dy3 Tm3 Sn6'
_space_group_name_H-M_alt 'R -3 m'
_space_group_IT_number 166
_space_group_name_Hall '-R 3 2"'
_cell_length_a 3.8042
_cell_length_b 3.8042
_cell_length_c 26.9102
_cell_angle_alpha 90.00
_cell_angle_beta 90.00
_cell_angle_gamma 120.00
loop_
_atom_site_label
_atom_site_type_symbol
_atom_site_fract_x
_atom_site_fract_y
_atom_site_fract_z
_atom_site_occupancy
Dy1 Dy 0.0000 0.0000 0.0000 1
Tm1 Tm 0.0000 0.0000 0.5000 1
Sn1 Sn 0.0000 0.0000 0.2492 1
# Mass density = 8.40 g/cm³
# N(E_F) = 1.77 states/eV/f.u.
# ΔE_f = -0.506 eV per atom
# VASP energy = -4.78 eV/atom

=====

[3]
# Ce2TiNbN5 PBE relaxed
data_Ce2TiNbN5
_chemical_formula_sum 'Ce8 Ti4 Nb4 N20'
_space_group_name_H-M_alt 'C m c 21'
_space_group_IT_number 36
_space_group_name_Hall 'C 2c -2'
_cell_length_a 3.344
_cell_length_b 13.332
_cell_length_c 10.297
_cell_angle_alpha 90.00
_cell_angle_beta 90.00
_cell_angle_gamma 90.00
loop_
_atom_site_label
_atom_site_type_symbol
_atom_site_fract_x
_atom_site_fract_y
_atom_site_fract_z
_atom_site_occupancy
Ce1 Ce 0.000 0.110 0.000 1
Ce2 Ce 0.000 0.142 0.596 1
Ti1 Ti 0.000 0.475 0.775 1
Nb1 Nb 0.000 0.217 0.314 1
N1 N 0.000 0.053 0.363 1
N2 N 0.000 0.280 0.957 1
N3 N 0.000 0.315 0.684 1
N4 N 0.000 0.371 0.308 1
N5 N 0.000 0.494 0.091 1
# Mass density = 7.10 g/cm³
# N(E_F) = 6.32 states/eV/f.u.
# VASP energy = -9.31 eV/atom

=====

[4]
# ZnRh2Au PBE relaxed
data_ZnRh2Au
_chemical_formula_sum 'Zn1 Rh2 Au1'
_space_group_name_H-M_alt 'P 4 m m'
_space_group_IT_number 99
_space_group_name_Hall 'P 4 -2'
_cell_length_a 2.800
_cell_length_b 2.800
_cell_length_c 7.696
_cell_angle_alpha 90.00
_cell_angle_beta 90.00
_cell_angle_gamma 90.00
loop_
_atom_site_label
_atom_site_type_symbol
_atom_site_fract_x
_atom_site_fract_y
_atom_site_fract_z
_atom_site_occupancy
Zn1 Zn 0.000 0.000 0.000 1
Rh1 Rh 0.000 0.000 0.536 1
Rh2 Rh 0.500 0.500 0.768 1
Au1 Au 0.500 0.500 0.260 1
# Mass density = 12.88 g/cm³
# N(E_F) = 4.47 states/eV/f.u.
# ΔE_f = -0.095 eV per atom
# VASP energy = -4.91 eV/atom

=====

[5]
# Ce4Cd5Pd2 PBE relaxed
data_Ce4Cd5Pd2
_chemical_formula_sum 'Ce4 Cd5 Pd2'
_space_group_name_H-M_alt 'P 1 2/m 1'
_space_group_IT_number 10
_space_group_name_Hall '-P 2y'
_cell_length_a 7.838
_cell_length_b 3.586
_cell_length_c 9.989
_cell_angle_alpha 90.00
_cell_angle_beta 94.09
_cell_angle_gamma 90.00
loop_
_atom_site_label
_atom_site_type_symbol
_atom_site_fract_x
_atom_site_fract_y
_atom_site_fract_z
_atom_site_occupancy
Ce1 Ce 0.164 0.000 0.363 1
Ce2 Ce 0.239 0.000 0.947 1
Cd1 Cd 0.194 0.500 0.656 1
Cd2 Cd 0.449 0.500 0.192 1
Cd3 Cd 0.500 0.500 0.500 1
Pd1 Pd 0.066 0.500 0.139 1
# Mass density = 7.92 g/cm³
# N(E_F) = 27.18 states/eV/f.u.
# ΔE_f = -0.355 eV per atom
# VASP energy = -3.87 eV/atom

=====

[6]
# SrSc2GaC PBE relaxed
data_SrSc2GaC
_chemical_formula_sum 'Sr1 Sc2 Ga1 C1'
_space_group_name_H-M_alt 'P 4/m m m'
_space_group_IT_number 123
_space_group_name_Hall '-P 4 2'
_cell_length_a 4.568
_cell_length_b 4.568
_cell_length_c 5.289
_cell_angle_alpha 90.00
_cell_angle_beta 90.00
_cell_angle_gamma 90.00
loop_
_atom_site_label
_atom_site_type_symbol
_atom_site_fract_x
_atom_site_fract_y
_atom_site_fract_z
_atom_site_occupancy
Sr1 Sr 0.000 0.000 0.000 1
Sc1 Sc 0.000 0.500 0.500 1
Ga1 Ga 0.500 0.500 0.000 1
C1 C 0.000 0.000 0.500 1
# Mass density = 3.90 g/cm³
# N(E_F) = 5.85 states/eV/f.u.
# ΔE_f = -0.183 eV per atom
# VASP energy = -5.50 eV/atom

=====

Q: The lowest mass density belongs to which entry?
A: SrSc2GaC

=====

Q: Which of these has the lowest VASP energy?
A: Ce2TiNbN5

=====

Q: VASP energy of number 3 (Ce2TiNbN5)?
A: -9.31 eV/atom

=====

Q: Which of these has the lowest VASP energy?
A: Ce2TiNbN5